[1]
First-principles (PBE-GGA) data for a relaxed structure of LiSm6Tm, as listed in Alexandria.

abc: 8.450 9.525 6.366
angles: 41.55 48.40 55.68
Fractional positions:
Sm: 0.053 0.432 0.279
Sm: 0.947 0.568 0.721
Sm: 0.568 0.236 0.248
Sm: 0.236 0.052 0.143
Sm: 0.764 0.948 0.857
Sm: 0.432 0.764 0.752
Li: 0.000 0.000 0.000
Tm: 0.500 0.500 0.500

## Properties
energy of formation from the pure elements	0.13	eV per atom
space-group type	R-3
DOS(E_F)	1.533	states/eV/atom
DFT total energy	-4.204	eV/atom


[2]
First-principles (PBE-GGA) data for a relaxed structure of NiRu6Rh8, as listed in Alexandria.

abc: 2.722 9.764 9.764
angles: 120.00 90.00 90.00
Each line ends with the local moment (μB).
Fractional positions:
Rh: 0.248 0.285 0.076  0.10
Rh: 0.752 0.715 0.924  0.10
Rh: 0.753 0.667 0.333  -0.02
Rh: 0.752 0.209 0.285  0.10
Rh: 0.248 0.791 0.715  0.10
Rh: 0.752 0.076 0.791  0.10
Rh: 0.248 0.924 0.209  0.10
Rh: 0.247 0.333 0.667  -0.02
Ru: 0.250 0.912 0.531  0.00
Ru: 0.750 0.088 0.469  0.00
Ru: 0.750 0.381 0.912  0.00
Ru: 0.250 0.619 0.088  0.00
Ru: 0.750 0.531 0.619  0.00
Ru: 0.250 0.469 0.381  0.00
Ni: 0.500 0.000 0.000  0.67

## Properties
energy of formation from the pure elements	0.32	eV per atom
space-group type	P-3
DOS(E_F)	1.181	states/eV/atom
DFT total energy	-7.697	eV/atom


[3]
First-principles (PBE-GGA) data for a relaxed structure of CsLiScI5, as listed in Alexandria.

abc: 8.531 8.531 11.132
angles: 102.89 102.89 107.01
Fractional positions:
Sc: 0.000 0.000 0.500
Sc: 0.000 0.000 0.000
I: 0.360 0.222 0.069
I: 0.095 0.707 0.905
I: 0.905 0.293 0.095
I: 0.222 0.360 0.569
I: 0.065 0.935 0.250
I: 0.935 0.065 0.750
I: 0.293 0.905 0.595
I: 0.640 0.778 0.931
I: 0.778 0.640 0.431
I: 0.707 0.095 0.405
Li: 0.307 0.693 0.750
Li: 0.693 0.307 0.250
Cs: 0.655 0.345 0.750
Cs: 0.345 0.655 0.250

## Properties
space-group type	C2/c
DOS(E_F)	0.000	states/eV/atom
DFT total energy	-3.391	eV/atom
energy relative to the elements, uncorrected	-10.280	eV per formula unit


[4]
First-principles (PBE-GGA) data for a relaxed structure of TiN, as listed in Alexandria.

abc: 6.274 6.274 6.274
angles: 90.00 90.00 90.00
Each line ends with the local moment (μB).
Fractional positions:
Ti: 0.661 0.339 0.661  0.41
Ti: 0.161 0.839 0.161  0.41
Ti: 0.339 0.339 0.339  0.41
Ti: 0.161 0.161 0.839  0.41
Ti: 0.339 0.661 0.661  0.41
Ti: 0.839 0.161 0.161  0.41
Ti: 0.661 0.661 0.339  0.41
Ti: 0.839 0.839 0.839  0.41
N: 0.660 0.340 0.340  -0.03
N: 0.160 0.160 0.160  -0.03
N: 0.660 0.660 0.660  -0.03
N: 0.840 0.160 0.840  -0.03
N: 0.340 0.660 0.340  -0.03
N: 0.160 0.840 0.840  -0.03
N: 0.340 0.340 0.660  -0.03
N: 0.840 0.840 0.160  -0.03

## Properties
space-group type	I-43m
DOS(E_F)	0.864	states/eV/atom
DFT total energy	-9.288	eV/atom
energy relative to the elements, uncorrected	-2.355	eV per formula unit